P:
The following is a PBE-GGA calculation of NiBiSeBr2 after structural relaxation, from the Alexandria database.

Cell and atoms, written as extended XYZ:
```
5
Lattice="5.6230 0.0000 0.0000 0.0000 5.6230 0.0000 0.0000 0.0000 5.5797" Properties=species:S:1:pos:R:3 pbc="T T T"
Ni 0.0000 0.0000 0.0000
Bi 2.8115 2.8115 2.7898
Se 2.8115 2.8115 0.0000
Br 0.0000 2.8115 2.7898
Br 2.8115 0.0000 2.7898
```

Space group ... No. 123
V ... 176 Å³ per cell

---

Q:
The following is a PBE-GGA calculation of NiBiSeBr2 after structural relaxation, from the Alexandria database.

Cell and atoms, written as extended XYZ:
```
5
Lattice="4.8108 0.0000 0.0000 0.0000 4.8108 0.0000 0.0000 0.0000 5.0168" Properties=species:S:1:pos:R:3 pbc="T T T"
Ni 0.0000 0.0000 0.0000
Bi 2.4054 2.4054 2.5084
Se 0.0000 0.0000 2.5084
Br 0.0000 2.4054 0.0000
Br 2.4054 0.0000 0.0000
```

Space group ... No. 123
V ... 116 Å³ per cell

---

Most stable: Q. Least stable: P.

---

P:
The following is a PBE-GGA calculation of NpBiBr6 after structural relaxation, from the Alexandria database.

Cell and atoms, written as extended XYZ:
```
8
Lattice="3.5952 -6.5087 0.0000 3.5952 6.5087 0.0000 -2.0816 0.0000 6.8779" Properties=species:S:1:pos:R:3 pbc="T T T"
Np 0.0000 0.0000 0.0000
Bi 2.5544 0.0000 3.4389
Br 1.2998 1.9545 1.7112
Br 0.1942 0.0000 5.1549
Br 1.2998 -1.9545 1.7112
Br 3.8091 1.9545 5.1666
Br 4.9147 0.0000 1.7230
Br 3.8091 -1.9545 5.1666
```

Space group ... No. 12
V ... 322 Å³ per cell

---

Q:
The following is a PBE-GGA calculation of NpBiBr6 after structural relaxation, from the Alexandria database.

Cell and atoms, written as extended XYZ:
```
8
Lattice="3.5732 2.0630 6.6431 -3.5732 2.0630 6.6431 0.0000 -4.1259 6.6431" Properties=species:S:1:pos:R:3 pbc="T T T"
Np 0.0000 0.0000 0.0000
Bi 0.0000 0.0000 9.9646
Br -1.1769 -2.0842 8.3102
Br -2.3934 -0.0229 11.6189
Br -1.2165 2.0613 8.3102
Br 1.2165 -2.0613 11.6189
Br 2.3934 0.0229 8.3102
Br 1.1769 2.0842 11.6189
```

Space group ... No. 148
V ... 294 Å³ per cell

---

Most stable: P. Least stable: Q.

---

P:
The following is a PBE-GGA calculation of BiBrO2 after structural relaxation, from the Alexandria database.

Cell and atoms, written as extended XYZ:
```
4
Lattice="0.0000 3.1378 3.1378 3.1378 0.0000 3.1378 3.1378 3.1378 0.0000" Properties=species:S:1:pos:R:3 pbc="T T T"
Bi 0.0000 0.0000 0.0000
Br 3.1378 3.1378 3.1378
O 1.5689 1.5689 1.5689
O 4.7066 4.7066 4.7066
```

Space group ... No. 225
V ... 62 Å³ per cell

---

Q:
The following is a PBE-GGA calculation of BiBrO2 after structural relaxation, from the Alexandria database.

Cell and atoms, written as extended XYZ:
```
4
Lattice="1.7739 1.0242 6.6641 -1.7739 1.0242 6.6641 0.0000 -2.0483 6.6641" Properties=species:S:1:pos:R:3 pbc="T T T"
Bi 0.0000 0.0000 0.0000
Br 0.0000 0.0000 9.9962
O 0.0000 0.0000 2.3590
O 0.0000 0.0000 17.6334
```

Space group ... No. 166
V ... 73 Å³ per cell

---

Most stable: P. Least stable: Q.